w:
A plane-wave DFT calculation with meta-GGA SCAN was carried out for a crystal of InGa2Au2 relaxed with PBEsol.

extended XYZ file:
```
5
Lattice="-2.228 2.228 5.054 2.228 -2.228 5.054 2.228 2.228 -5.054" Properties=species:S:1:pos:R:3 pbc="T T T"
In 0.000 0.000 0.000
Ga 0.000 0.000 3.831
Ga 0.000 0.000 6.278
Au 2.228 0.000 2.527
Au 0.000 2.228 2.527
```

Results
Density of states at the Fermi level   1.9 states/eV/cell
Symmetry   No. 139

=====

x:
A plane-wave DFT calculation with meta-GGA SCAN was carried out for a crystal of InGa2Au2 relaxed with PBEsol.

extended XYZ file:
```
5
Lattice="-1.953 1.953 6.257 1.953 -1.953 6.257 1.953 1.953 -6.257" Properties=species:S:1:pos:R:3 pbc="T T T"
In 0.000 0.000 0.000
Ga 1.953 0.000 3.128
Ga 0.000 1.953 3.128
Au 0.000 0.000 4.893
Au 0.000 0.000 7.621
```

Results
Density of states at the Fermi level   1.9 states/eV/cell
Symmetry   No. 139

=====

Computed energies relative to the best structure, in meV/atom: w 86; x 0